Record 1
A plane-wave DFT calculation with PBE-GGA was carried out for crystalline LiCaH2SeF at its relaxed geometry.

Unit cell a=6.078 b=6.078 c=6.078 alpha=39.30 beta=39.30 gamma=39.30
Fractional positions:
1 Li 0.000 0.000 0.000
2 Ca 0.823 0.823 0.823
3 H 0.367 0.367 0.367
4 H 0.412 0.412 0.412
5 Se 0.600 0.600 0.600
6 F 0.113 0.113 0.113

Energy relative to the lowest polymorph listed for this composition, meV/atom: 29
Electronic total energy, Ry/atom: -0.3069
Symmetry: R3m, No. 160


Record 2
A plane-wave DFT calculation with PBE-GGA was carried out for crystalline CaHNF2 at its relaxed geometry.

Unit cell a=4.379 b=4.379 c=5.889 alpha=90.00 beta=90.00 gamma=90.00
Fractional positions:
1 Ca 0.000 0.000 0.000
2 H 0.500 0.500 0.500
3 N 0.000 0.000 0.500
4 F 0.000 0.500 0.000
5 F 0.500 0.000 0.000

Energy relative to the lowest polymorph listed for this composition, meV/atom: 464
Electronic total energy, Ry/atom: -0.3012
Symmetry: P4/mmm, No. 123


Record 3
A plane-wave DFT calculation with PBE-GGA was carried out for crystalline CaHNF2 at its relaxed geometry.

Unit cell a=4.118 b=4.118 c=2.902 alpha=90.00 beta=90.00 gamma=90.00
Fractional positions:
1 Ca 0.000 0.000 0.000
2 H 0.500 0.500 0.500
3 N 0.500 0.500 0.000
4 F 0.000 0.500 0.500
5 F 0.500 0.000 0.500

Energy relative to the lowest polymorph listed for this composition, meV/atom: 0
Electronic total energy, Ry/atom: -0.3353
Symmetry: P4/mmm, No. 123


Record 4
A plane-wave DFT calculation with PBE-GGA was carried out for crystalline NaCa4Si8H16O28F at its relaxed geometry.

Unit cell a=8.938 b=8.945 c=16.002 alpha=90.00 beta=90.00 gamma=90.00
Fractional positions:
1 Na 0.000 0.000 0.000
2 Na 0.500 0.500 0.500
3 Ca 0.117 0.248 0.500
4 Ca 0.249 0.883 0.500
5 Ca 0.251 0.383 0.000
6 Ca 0.383 0.748 0.000
7 Ca 0.617 0.252 0.000
8 Ca 0.749 0.617 0.000
9 Ca 0.751 0.117 0.500
10 Ca 0.883 0.752 0.500
11 Si 0.083 0.769 0.311
12 Si 0.083 0.769 0.689
13 Si 0.231 0.083 0.311
14 Si 0.231 0.083 0.689
15 Si 0.269 0.583 0.189
16 Si 0.269 0.583 0.811
17 Si 0.417 0.269 0.189
18 Si 0.417 0.269 0.811
19 Si 0.583 0.731 0.189
20 Si 0.583 0.731 0.811
21 Si 0.731 0.417 0.189
22 Si 0.731 0.417 0.811
23 Si 0.769 0.917 0.311
24 Si 0.769 0.917 0.689
25 Si 0.917 0.231 0.311
26 Si 0.917 0.231 0.689
27 H 0.053 0.682 0.087
28 H 0.053 0.682 0.913
29 H 0.071 0.256 0.146
30 H 0.071 0.256 0.854
31 H 0.181 0.553 0.413
32 H 0.181 0.553 0.587
33 H 0.243 0.429 0.353
34 H 0.243 0.429 0.647
35 H 0.257 0.929 0.147
36 H 0.257 0.929 0.853
37 H 0.319 0.053 0.087
38 H 0.319 0.053 0.913
39 H 0.429 0.756 0.354
40 H 0.429 0.756 0.646
41 H 0.447 0.182 0.413
42 H 0.447 0.182 0.587
43 H 0.553 0.818 0.413
44 H 0.553 0.818 0.587
45 H 0.571 0.244 0.354
46 H 0.571 0.244 0.646
47 H 0.681 0.947 0.087
48 H 0.681 0.947 0.913
49 H 0.743 0.071 0.147
50 H 0.743 0.071 0.853
51 H 0.757 0.571 0.353
52 H 0.757 0.571 0.647
53 H 0.819 0.447 0.413
54 H 0.819 0.447 0.587
55 H 0.929 0.744 0.146
56 H 0.929 0.744 0.854
57 H 0.947 0.318 0.087
58 H 0.947 0.318 0.913
59 O 0.047 0.267 0.087
60 O 0.047 0.267 0.913
61 O 0.089 0.190 0.284
62 O 0.089 0.190 0.716
63 O 0.099 0.728 0.409
64 O 0.099 0.728 0.591
65 O 0.131 0.631 0.250
66 O 0.131 0.631 0.750
67 O 0.191 0.911 0.284
68 O 0.191 0.911 0.716
69 O 0.228 0.599 0.091
70 O 0.228 0.599 0.909
71 O 0.232 0.453 0.413
72 O 0.232 0.453 0.587
73 O 0.268 0.953 0.087
74 O 0.268 0.953 0.913
75 O 0.272 0.099 0.409
76 O 0.272 0.099 0.591
77 O 0.309 0.411 0.216
78 O 0.309 0.411 0.784
79 O 0.369 0.131 0.250
80 O 0.369 0.131 0.750
81 O 0.401 0.228 0.091
82 O 0.401 0.228 0.909
83 O 0.411 0.690 0.216
84 O 0.411 0.690 0.784
85 O 0.453 0.767 0.413
86 O 0.453 0.767 0.587
87 O 0.547 0.233 0.413
88 O 0.547 0.233 0.587
89 O 0.589 0.310 0.216
90 O 0.589 0.310 0.784
91 O 0.599 0.772 0.091
92 O 0.599 0.772 0.909
93 O 0.631 0.869 0.250
94 O 0.631 0.869 0.750
95 O 0.691 0.589 0.216
96 O 0.691 0.589 0.784
97 O 0.728 0.901 0.409
98 O 0.728 0.901 0.591
99 O 0.732 0.047 0.087
100 O 0.732 0.047 0.913
101 O 0.768 0.547 0.413
102 O 0.768 0.547 0.587
103 O 0.772 0.401 0.091
104 O 0.772 0.401 0.909
105 O 0.809 0.089 0.284
106 O 0.809 0.089 0.716
107 O 0.869 0.369 0.250
108 O 0.869 0.369 0.750
109 O 0.901 0.272 0.409
110 O 0.901 0.272 0.591
111 O 0.911 0.810 0.284
112 O 0.911 0.810 0.716
113 O 0.953 0.733 0.087
114 O 0.953 0.733 0.913
115 F 0.000 0.000 0.500
116 F 0.500 0.500 0.000

Electronic total energy, Ry/atom: -0.4711
Symmetry: Pnnm, No. 58